1.
The following is a PBE calculation of an optimized crystal structure of InBiSe, from Alexandria via LeMat-Bulk.

ΔE to the lowest computed polymorph = 58.6 meV per atom
ρ = 6.933 g cm⁻³
magnetic moment = 0.0 μB per formula unit

Cell: 3.549 3.570 8.012 Å, 102.70 102.74 90.01°
Atoms (fractional coordinates):
In1 0.000 0.000 0.000
Bi1 0.801 0.802 0.608
Se1 0.580 0.579 0.162

2.
The following is a PBE calculation of an optimized crystal structure of CaCd2IO, from Alexandria via LeMat-Bulk.

E_tot = -9.8 eV per cell
ρ = 4.275 g cm⁻³
magnetic moment = 0.0 μB per formula unit

Cell: 6.205 6.205 4.115 Å, 90.00 90.00 90.00°
Atoms (fractional coordinates):
Ca1 0.000 0.000 0.000
Cd1 0.000 0.500 0.500
Cd2 0.500 0.000 0.500
I1 0.500 0.500 0.500
O1 0.500 0.500 0.000

3.
The following is a PBE calculation of an optimized crystal structure of MgBiBr2, from Alexandria via LeMat-Bulk.

ΔE to the lowest computed polymorph = 773.2 meV per atom
ρ = 5.936 g cm⁻³
magnetic moment = 0.0 μB per formula unit

Cell: 5.378 5.378 5.378 Å, 60.00 60.00 60.00°
Atoms (fractional coordinates):
Mg1 0.000 0.000 0.000
Bi1 0.500 0.500 0.500
Br1 0.250 0.250 0.250
Br2 0.750 0.750 0.750